[1]
{"formula": "Li2LaCrRh", "functional": "GGA-PBE", "state": "optimized geometry", "cell": [[4.6949, 0.0000, 0.0000], [0.0000, 4.6949, 0.0000], [0.0000, 0.0000, 4.6877]], "species": ["Li", "Li", "La", "Cr", "Rh"], "frac_coords": [[0.0000, 0.5000, 0.0000], [0.5000, 0.0000, 0.0000], [0.0000, 0.0000, 0.5000], [0.5000, 0.5000, 0.5000], [0.5000, 0.5000, 0.0000]], "sg": "P4/mmm (123)", "formation_energy_mev_per_atom": 183, "relative_energy_ev_per_atom": 0.000, "vol_a3_per_atom": 20.7, "energy_ev_per_atom": -4.96}

[2]
{"formula": "Li2LaCrRh", "functional": "GGA-PBE", "state": "optimized geometry", "cell": [[4.4769, 0.0000, 0.0000], [0.0000, 4.4769, 0.0000], [0.0000, 0.0000, 5.7427]], "species": ["Li", "Li", "La", "Cr", "Rh"], "frac_coords": [[0.0000, 0.5000, 0.0000], [0.5000, 0.0000, 0.0000], [0.0000, 0.0000, 0.5000], [0.0000, 0.0000, 0.0000], [0.5000, 0.5000, 0.5000]], "sg": "P4/mmm (123)", "formation_energy_mev_per_atom": 789, "relative_energy_ev_per_atom": 0.606, "vol_a3_per_atom": 23.0, "energy_ev_per_atom": -4.36}

[3]
{"formula": "Li2LaCrRu", "functional": "GGA-PBE", "state": "optimized geometry", "cell": [[4.4646, 0.0000, 0.0000], [0.0000, 4.4646, 0.0000], [0.0000, 0.0000, 5.6162]], "species": ["Li", "Li", "La", "Cr", "Ru"], "frac_coords": [[0.0000, 0.5000, 0.0000], [0.5000, 0.0000, 0.0000], [0.0000, 0.0000, 0.5000], [0.0000, 0.0000, 0.0000], [0.5000, 0.5000, 0.5000]], "sg": "P4/mmm (123)", "formation_energy_mev_per_atom": 1093, "vol_a3_per_atom": 22.4, "energy_ev_per_atom": -4.44}

[4]
{"formula": "Li2LaCrSi", "functional": "GGA-PBE", "state": "optimized geometry", "cell": [[4.6809, 0.0000, 0.0000], [0.0000, 4.6809, 0.0000], [0.0000, 0.0000, 4.7288]], "species": ["Li", "Li", "La", "Cr", "Si"], "frac_coords": [[0.0000, 0.5000, 0.0000], [0.5000, 0.0000, 0.0000], [0.0000, 0.0000, 0.5000], [0.5000, 0.5000, 0.5000], [0.5000, 0.5000, 0.0000]], "sg": "P4/mmm (123)", "e_form_raw_ev_per_fu": 0.8, "vol_a3_per_atom": 20.7, "energy_ev_per_atom": -4.61}